[1]
LiTaW | PBE | optimized geometry

abc: 2.676 2.676 14.237
angles: 90.00 90.00 90.00
Space group I4mm (No. 107)
Symmetry-distinct sites (fractional):
1 Li 0.000 0.000 0.000 x2
2 Ta 0.000 0.000 0.325 x2
3 W 0.000 0.000 0.660 x2

Computed properties:
Uncorrected energy   -8.43 eV per atom
Energy relative to the elements   46.0 kJ/mol of atoms

=====

[2]
Na2ScPa2Se6 | PBE | optimized geometry

abc: 7.061 12.037 7.517
angles: 90.00 107.65 90.00
Space group C2/m (No. 12)
Symmetry-distinct sites (fractional):
1 Na 0.000 0.169 0.000 x4
2 Sc 0.000 0.000 0.500 x2
3 Pa 0.000 0.339 0.500 x4
4 Se 0.235 0.163 0.723 x8
5 Se 0.240 0.000 0.269 x4

Computed properties:
Uncorrected energy   -5.84 eV per atom
Formation energy from raw total energies   -1399 meV per atom

=====

[3]
Ba2PPb | PBE | optimized geometry

abc: 5.387 5.408 9.441
angles: 90.00 90.00 90.00
Space group Immm (No. 71)
Symmetry-distinct sites (fractional):
1 Ba 0.000 0.000 0.249 x4
2 P 0.000 0.500 0.500 x2
3 Pb 0.000 0.500 0.000 x2

Computed properties:
Uncorrected energy   -3.72 eV per atom
Energy relative to the elements   -45.8 kJ/mol of atoms

=====

[4]
Ti15Tl2Pb2 | PBE | optimized geometry

abc: 9.2463 9.2463 14.7857
angles: 90.00 90.00 120.00
Space group R-3m (No. 166, hexagonal axes)
Symmetry-distinct sites (fractional):
1 Ti 0.0000 0.3028 0.0000 x18
2 Ti 0.0000 0.5000 0.5000 x9
3 Ti 0.0197 0.5099 0.1397 x18
4 Tl 0.0000 0.0000 0.1016 x6
5 Pb 0.0000 0.0000 0.3324 x6

Computed properties:
Uncorrected energy   -6.58 eV per atom
Energy relative to the elements   28.3 kJ/mol of atoms